This record from the Alexandria database describes Hf4SbRh after structural relaxation. The functional is PBE.

## Properties
Calculated volume (Å³/cell): 290.2
Fermi-level density of states (states/eV/cell): 8.84
Formation energy (no corrections) (eV per atom): -0.217

abc: 8.5321 8.5321 5.7081
angles: 107.50 107.50 47.69
Sites, in units of the cell vectors:
Hf1 0.0711 0.1744 0.1817
Hf2 0.1744 0.0711 0.6817
Hf3 0.2130 0.4147 0.1345
Hf4 0.4147 0.2130 0.6345
Hf5 0.5853 0.7870 0.3655
Hf6 0.7870 0.5853 0.8655
Hf7 0.8256 0.9289 0.3183
Hf8 0.9289 0.8256 0.8183
Sb1 0.2686 0.7314 0.2500
Sb2 0.7314 0.2686 0.7500
Rh1 0.0000 0.5000 0.5000
Rh2 0.5000 0.0000 0.0000